1.
DFT (PBE) results for a relaxed structure of Sm3Cd3InCu2.

```
data_Sm3Cd3InCu2
_cell_length_a 7.7381
_cell_length_b 7.7381
_cell_length_c 4.0402
_cell_angle_alpha 90.00
_cell_angle_beta 90.00
_cell_angle_gamma 120.00
_space_group_name_H-M_alt 'P -6 2 m'
_space_group_IT_number 189
_space_group_name_Hall 'P -6 -2'
loop_
_atom_site_label
_atom_site_type_symbol
_atom_site_fract_x
_atom_site_fract_y
_atom_site_fract_z
Sm1 Sm 0.0000 0.4181 0.0000
Cd1 Cd 0.0000 0.7291 0.5000
In1 In 0.0000 0.0000 0.0000
Cu1 Cu 0.3333 0.6667 0.5000
```

2.
DFT (PBE) results for a relaxed structure of CuNiBW.

```
data_CuNiBW
_cell_length_a 5.647
_cell_length_b 5.647
_cell_length_c 5.647
_cell_angle_alpha 90.00
_cell_angle_beta 90.00
_cell_angle_gamma 90.00
_space_group_name_H-M_alt 'F -4 3 m'
_space_group_IT_number 216
_space_group_name_Hall 'F -4 2 3'
loop_
_atom_site_label
_atom_site_type_symbol
_atom_site_fract_x
_atom_site_fract_y
_atom_site_fract_z
Cu1 Cu 0.000 0.000 0.000
Ni1 Ni 0.250 0.250 0.250
B1 B 0.250 0.250 0.750
W1 W 0.000 0.000 0.500
```

Summary:
Excess energy over the best structure of this formula in the dataset   0.00 eV per formula unit

The calculation returns the following total energy values, one per record and in order: -3.30; -6.83 eV per atom.